## SrSi2F (GGA-PBE)

Data for an optimized crystal structure of SrSi2F.

Summary:
The calculation puts the distance to the lowest polymorph of the same formula at 0 meV per atom. For the theoretical density, the calculation gives 3.43 g/cm3. The calculation puts the total energy at -77.26 eV/cell.

Cell lengths 3.526, 3.526, 25.363 Å; angles 90.00, 90.00, 90.00 degrees
Space group I-42d (No. 122)
Symmetry-distinct sites (fractional):
Sr 0.000 0.000 0.000
Si 0.247 0.250 0.125
F 0.000 0.000 0.500

## SrSiF (GGA-PBE)

Data for an optimized crystal structure of SrSiF.

Summary:
The calculation puts the distance to the lowest polymorph of the same formula at 46 meV per atom. For the theoretical density, the calculation gives 3.60 g/cm3. The calculation puts the total energy at -30.34 eV/cell.

Cell lengths 3.9784, 3.9784, 9.0610 Å; angles 90.00, 90.00, 120.00 degrees
Space group P3m1 (No. 156)
Symmetry-distinct sites (fractional):
Sr 0.0000 0.0000 0.0000
Sr 0.3333 0.6667 0.3964
Si 0.0000 0.0000 0.6410
Si 0.6667 0.3333 0.7430
F 0.3333 0.6667 0.0988
F 0.6667 0.3333 0.2926

## SrSiF2 (GGA-PBE)

Data for an optimized crystal structure of SrSiF2.

Summary:
The calculation puts the distance to the lowest polymorph of the same formula at 72 meV per atom. For the theoretical density, the calculation gives 2.54 g/cm3. The calculation puts the total energy at -56.98 eV/cell.

Cell lengths 3.6372, 3.6372, 26.2821 Å; angles 90.00, 90.00, 120.00 degrees
Space group R-3m (No. 166, hexagonal axes)
Symmetry-distinct sites (fractional):
Sr 0.0000 0.0000 0.0000
Si 0.0000 0.0000 0.5000
F 0.0000 0.0000 0.2905

## SrSiF2 (GGA-PBE)

Data for an optimized crystal structure of SrSiF2.

Summary:
The calculation puts the distance to the lowest polymorph of the same formula at 0 meV per atom. For the theoretical density, the calculation gives 3.03 g/cm3. The calculation puts the total energy at -57.84 eV/cell.

Cell lengths 4.0919, 4.0919, 17.4039 Å; angles 90.00, 90.00, 120.00 degrees
Space group R-3m (No. 166, hexagonal axes)
Symmetry-distinct sites (fractional):
Sr 0.0000 0.0000 0.0000
Si 0.0000 0.0000 0.5000
F 0.0000 0.0000 0.3756

## SrSi2F (GGA-PBE)

Data for an optimized crystal structure of SrSi2F.

Summary:
The calculation puts the distance to the lowest polymorph of the same formula at 1307 meV per atom. For the theoretical density, the calculation gives 3.17 g/cm3. The calculation puts the total energy at -56.35 eV/cell.

Cell lengths 6.988, 6.988, 6.988 Å; angles 90.00, 90.00, 90.00 degrees
Space group Fm-3m (No. 225)
Symmetry-distinct sites (fractional):
Sr 0.000 0.000 0.000
Si 0.250 0.250 0.250
F 0.000 0.000 0.500

## SrSiF (GGA-PBE)

Data for an optimized crystal structure of SrSiF.

Summary:
The calculation puts the distance to the lowest polymorph of the same formula at 68 meV per atom. For the theoretical density, the calculation gives 3.56 g/cm3. The calculation puts the total energy at -30.21 eV/cell.

Cell lengths 3.9763, 3.9763, 9.1852 Å; angles 90.00, 90.00, 120.00 degrees
Space group P3m1 (No. 156)
Symmetry-distinct sites (fractional):
Sr 0.0000 0.0000 0.0000
Sr 0.3333 0.6667 0.6044
Si 0.0000 0.0000 0.3568
Si 0.6667 0.3333 0.2573
F 0.0000 0.0000 0.7235
F 0.3333 0.6667 0.9024

## SrSiF (GGA-PBE)

Data for an optimized crystal structure of SrSiF.

Summary:
The calculation puts the distance to the lowest polymorph of the same formula at 44 meV per atom. For the theoretical density, the calculation gives 3.56 g/cm3. The calculation puts the total energy at -91.07 eV/cell.

Cell lengths 3.9776, 3.9776, 27.5335 Å; angles 90.00, 90.00, 120.00 degrees
Space group R3m (No. 160, hexagonal axes)
Symmetry-distinct sites (fractional):
Sr 0.0000 0.0000 0.0000
Sr 0.0000 0.0000 0.4683
Si 0.0000 0.0000 0.2470
Si 0.0000 0.0000 0.8802
F 0.0000 0.0000 0.0967
F 0.0000 0.0000 0.6954

## SrSiF (GGA-PBE)

Data for an optimized crystal structure of SrSiF.

Summary:
The calculation puts the distance to the lowest polymorph of the same formula at 75 meV per atom. For the theoretical density, the calculation gives 3.53 g/cm3. The calculation puts the total energy at -60.33 eV/cell.

Cell lengths 4.187, 15.238, 3.970 Å; angles 90.00, 90.00, 90.00 degrees
Space group Cmcm (No. 63)
Symmetry-distinct sites (fractional):
Sr 0.000 0.156 0.250
Si 0.000 0.459 0.250
F 0.000 0.254 0.750